An optimized crystal structure of Tb2Pm6DySc, computed with PBE-GGA.

The structure in POSCAR format:
```
Tb2Pm6DySc
1.0
4.6001 -7.6137 0.0000
4.6001 7.6137 0.0000
-1.1355 0.0000 9.3925
Tb Pm Dy Sc
4 12 2 2
direct
0.1963 0.2961 0.4534
0.2961 0.1963 0.9534
0.7039 0.8037 0.0466
0.8037 0.7039 0.5466
0.0091 0.7896 0.8859
0.0622 0.4962 0.6949
0.2104 0.9909 0.6141
0.2640 0.6233 0.0517
0.3767 0.7360 0.4483
0.4962 0.0622 0.1949
0.5038 0.9378 0.8051
0.6233 0.2640 0.5517
0.7360 0.3767 0.9483
0.7896 0.0091 0.3859
0.9378 0.5038 0.3051
0.9909 0.2104 0.1141
0.4760 0.5240 0.7500
0.5240 0.4760 0.2500
0.0812 0.9188 0.2500
0.9188 0.0812 0.7500
```

volume: 328.96 Å³/f.u.
calculated formation energy: 0.126 eV/atom
E: -4.743 eV per atom

An optimized crystal structure of Ti2HgBi2, computed with PBE-GGA.

The structure in POSCAR format:
```
Ti2HgBi2
1.0
7.7191 0.0000 0.0000
0.0000 7.7191 0.0000
0.0000 0.0000 3.8421
Ti Hg Bi
4 2 4
direct
0.1335 0.3665 0.0000
0.3665 0.8665 0.0000
0.6335 0.1335 0.0000
0.8665 0.6335 0.0000
0.0000 0.0000 0.0000
0.5000 0.5000 0.0000
0.1602 0.6602 0.5000
0.3398 0.1602 0.5000
0.6602 0.8398 0.5000
0.8398 0.3398 0.5000
```

volume: 114.46 Å³/f.u.
calculated formation energy: -0.065 eV/atom
E: -4.836 eV per atom
energy above the most stable polymorph in this dataset: 0.0 meV per atom

An optimized crystal structure of Ba3PdBr, computed with PBE-GGA.

The structure in POSCAR format:
```
Ba3PdBr
1.0
7.7833 0.0000 0.0000
0.0000 4.6046 0.0000
-2.6403 0.0000 12.3479
Ba Pd Br
6 2 2
direct
0.0121 0.2500 0.3076
0.2585 0.2500 0.9958
0.4778 0.2500 0.6998
0.5222 0.7500 0.3002
0.7415 0.7500 0.0042
0.9879 0.7500 0.6924
0.3617 0.7500 0.8427
0.6383 0.2500 0.1573
0.2457 0.7500 0.4942
0.7543 0.2500 0.5058
```

volume: 221.27 Å³/f.u.
E: -3.413 eV per atom
energy above the most stable polymorph in this dataset: 0.0 meV per atom
ΔE_f (raw): -887 meV/atom